Computed, not measured: crystalline Sr8Li2Ca3 at its relaxed geometry at the GGA-PBE level of DFT.

a b c (Å): 9.273 5.606 12.628
angles (deg): 90.00 111.25 90.00
Space group P2/m (No. 10)
One atom of each set of equivalent atoms:
Sr (0.012, 0.000, 0.220) x2
Sr (0.264, 0.000, 0.572) x2
Sr (0.325, 0.500, 0.844) x2
Sr (0.361, 0.500, 0.326) x2
Li (0.024, 0.500, 0.399) x2
Ca (0.000, 0.500, 0.000) x1
Ca (0.346, 0.000, 0.084) x2

Crystal system: monoclinic

Computed, not measured: crystalline HfCr2Ni2 at its relaxed geometry at the GGA-PBE level of DFT.

a b c (Å): 7.158 7.158 2.590
angles (deg): 90.00 90.00 90.00
Space group P4/mbm (No. 127)
One atom of each set of equivalent atoms:
Hf (0.000, 0.000, 0.000) x2
Cr (0.109, 0.391, 0.000) x4
Ni (0.183, 0.683, 0.500) x4

Crystal system: tetragonal

Computed, not measured: crystalline SmHo3In at its relaxed geometry at the GGA-PBE level of DFT.

a b c (Å): 4.835 25.161 4.825
angles (deg): 90.00 90.00 90.00
Space group Cmcm (No. 63)
One atom of each set of equivalent atoms:
Sm (0.000, 0.148, 0.250) x4
Ho (0.000, 0.048, 0.750) x4
Ho (0.000, 0.250, 0.750) x4
Ho (0.000, 0.448, 0.750) x4
In (0.000, 0.347, 0.250) x4

Crystal system: orthorhombic

Computed, not measured: crystalline TbCeSn at its relaxed geometry at the GGA-PBE level of DFT.

a b c (Å): 5.2916 5.2916 3.2772
angles (deg): 90.00 90.00 120.00
Space group P3m1 (No. 156)
One atom of each set of equivalent atoms:
Tb (0.0000, 0.0000, 0.0000) x1
Ce (0.3333, 0.6667, 0.9988) x1
Sn (0.6667, 0.3333, 0.4984) x1

Crystal system: trigonal

Number 1: energy -0.1289 Ry per atom. Number 2: energy -0.5903 Ry per atom. Number 3: energy -0.3246 Ry per atom. Number 4: energy -0.3701 Ry per atom.